# 1
Density functional theory data (PBE) for a relaxed structure of ScNiB2H.

Results
- Final energy: -0.1948 hartree per atom

a = 3.6569 Å, b = 3.6569 Å, c = 3.4164 Å
α = 90.00°, β = 90.00°, γ = 90.00°
Closest atoms and distances in Å follow each position.
Atoms (fractional coordinates):
Sc 0.0000 0.0000 0.0000  8 B 2.50, 4 Ni 2.59
Ni 0.5000 0.5000 0.0000  2 H 1.71
B 0.0000 0.5000 0.5000  2 H 1.83
B 0.5000 0.0000 0.5000  2 H 1.83
H 0.5000 0.5000 0.5000  2 Ni 1.71, 4 B 1.83

# 2
Density functional theory data (PBE) for a relaxed structure of NiSnB2H.

Results
- Final energy: -0.1321 hartree per atom

a = 4.4875 Å, b = 4.4875 Å, c = 3.4184 Å
α = 90.00°, β = 90.00°, γ = 90.00°
Closest atoms and distances in Å follow each position.
Atoms (fractional coordinates):
Ni 0.0000 0.0000 0.0000  8 B 2.82
Sn 0.5000 0.5000 0.5000  2 H 1.71
B 0.0000 0.5000 0.5000  2 Sn 2.24
B 0.5000 0.0000 0.5000  2 Sn 2.24
H 0.5000 0.5000 0.0000  2 Sn 1.71